[1]
Density functional theory data (PBEsol) for a relaxed structure of BaMg2W.

Calculated values
The energy relative to the elements comes out at 0.61 eV per atom. The offset from the most stable computed form is 0 kJ/mol of formula units. For the density of states at the Fermi level, the calculation gives 3.1 states/eV/cell.

Cell lengths 2.9936, 2.9936, 10.2720 Å; angles 90.00, 90.00, 90.00 degrees
Space group P4/mmm (No. 123)
Symmetry-distinct sites (fractional):
Ba (0.0000, 0.0000, 0.0000) [1 per cell]
Mg (0.5000, 0.5000, 0.3006) [2 per cell]
W (0.0000, 0.0000, 0.5000) [1 per cell]

***

[2]
Density functional theory data (PBEsol) for a relaxed structure of Li2CoIr.

Calculated values
The energy relative to the elements comes out at -0.01 eV per atom. The offset from the most stable computed form is 4 kJ/mol of formula units. For the density of states at the Fermi level, the calculation gives 3.1 states/eV/cell.

Cell lengths 2.5111, 4.3620, 4.4352 Å; angles 90.00, 92.30, 90.00 degrees
Space group P2/m (No. 10)
Symmetry-distinct sites (fractional):
Li (0.2147, 0.0000, 0.2480) [2 per cell]
Co (0.0000, 0.5000, 0.5000) [1 per cell]
Ir (0.5000, 0.5000, 0.0000) [1 per cell]

***

[3]
Density functional theory data (PBEsol) for a relaxed structure of LiMn3Tl.

Calculated values
The energy relative to the elements comes out at 1.08 eV per atom. For the density of states at the Fermi level, the calculation gives 2.8 states/eV/cell.

Cell lengths 4.2172, 4.2172, 4.2172 Å; angles 90.00, 90.00, 90.00 degrees
Space group Pm-3m (No. 221)
Symmetry-distinct sites (fractional):
Li (0.0000, 0.0000, 0.0000) [1 per cell]
Mn (0.0000, 0.0000, 0.5000) [3 per cell]
Tl (0.5000, 0.5000, 0.5000) [1 per cell]

***

[4]
Density functional theory data (PBEsol) for a relaxed structure of RbAlFe3.

Calculated values
The energy relative to the elements comes out at 1.40 eV per atom. The offset from the most stable computed form is 0 kJ/mol of formula units. For the density of states at the Fermi level, the calculation gives 7.9 states/eV/cell.

Cell lengths 4.6929, 4.6929, 4.6929 Å; angles 90.00, 90.00, 90.00 degrees
Space group Pm-3m (No. 221)
Symmetry-distinct sites (fractional):
Rb (0.0000, 0.0000, 0.0000) [1 per cell]
Al (0.5000, 0.5000, 0.5000) [1 per cell]
Fe (0.0000, 0.5000, 0.5000) [3 per cell]

***

[5]
Density functional theory data (PBEsol) for a relaxed structure of CoSnH12O6F6.

Calculated values
For the density of states at the Fermi level, the calculation gives 29.4 states/eV/cell. The value obtained for the total energy is -5.068 eV/atom.

Cell lengths 9.6662, 9.6662, 9.9352 Å; angles 90.00, 90.00, 120.00 degrees
Space group R-3 (No. 148, hexagonal axes)
Symmetry-distinct sites (fractional):
Co (0.0000, 0.0000, 0.0000) [3 per cell]
Sn (0.0000, 0.0000, 0.5000) [3 per cell]
H (0.0258, 0.8376, 0.7877) [18 per cell]
H (0.0481, 0.4527, 0.7600) [18 per cell]
O (0.0088, 0.8270, 0.8862) [18 per cell]
F (0.0451, 0.8594, 0.6162) [18 per cell]

***

[6]
Density functional theory data (PBEsol) for a relaxed structure of CaMnCl2.

Calculated values
The uncorrected formation energy is -343 kJ/mol of formula units. The offset from the most stable computed form is 0 kJ/mol of formula units. For the density of states at the Fermi level, the calculation gives 2.6 states/eV/cell.

Cell lengths 3.7483, 3.7483, 26.3748 Å; angles 90.00, 90.00, 120.00 degrees
Space group R3m (No. 160, hexagonal axes)
Symmetry-distinct sites (fractional):
Ca (0.0000, 0.0000, 0.0000) [3 per cell]
Mn (0.0000, 0.0000, 0.2328) [3 per cell]
Cl (0.0000, 0.0000, 0.5180) [3 per cell]
Cl (0.0000, 0.0000, 0.7262) [3 per cell]

***

[7]
Density functional theory data (PBEsol) for a relaxed structure of FeMo2P.

Calculated values
The energy relative to the elements comes out at -0.14 eV per atom. For the density of states at the Fermi level, the calculation gives 2.9 states/eV/cell.

Cell lengths 3.1058, 3.1058, 5.4461 Å; angles 90.00, 90.00, 90.00 degrees
Space group P4mm (No. 99)
Symmetry-distinct sites (fractional):
Fe (0.0000, 0.0000, 0.0000) [1 per cell]
Mo (0.0000, 0.0000, 0.5297) [1 per cell]
Mo (0.5000, 0.5000, 0.1965) [1 per cell]
P (0.5000, 0.5000, 0.7404) [1 per cell]

***

[8]
Density functional theory data (PBEsol) for a relaxed structure of TaNi6Rh.

Calculated values
The energy relative to the elements comes out at -0.15 eV per atom. For the density of states at the Fermi level, the calculation gives 74.3 states/eV/cell.

Cell lengths 7.1625, 10.1667, 10.1594 Å; angles 90.00, 90.00, 90.00 degrees
Space group Cmmm (No. 65)
Symmetry-distinct sites (fractional):
Ta (0.0000, 0.0000, 0.2459) [4 per cell]
Ta (0.0000, 0.2476, 0.5000) [4 per cell]
Ni (0.0000, 0.0000, 0.0000) [2 per cell]
Ni (0.0000, 0.0000, 0.5000) [2 per cell]
Ni (0.0000, 0.2495, 0.2519) [8 per cell]
Ni (0.0000, 0.5000, 0.0000) [2 per cell]
Ni (0.0000, 0.5000, 0.5000) [2 per cell]
Ni (0.2486, 0.3753, 0.1251) [16 per cell]
Ni (0.2488, 0.3757, 0.3749) [16 per cell]
Rh (0.0000, 0.2435, 0.0000) [4 per cell]
Rh (0.0000, 0.5000, 0.2447) [4 per cell]

***

[9]
Density functional theory data (PBEsol) for a relaxed structure of BaRe2Hg.

Calculated values
The energy relative to the elements comes out at 0.45 eV per atom. For the density of states at the Fermi level, the calculation gives 2.1 states/eV/cell.

Cell lengths 4.3462, 4.3462, 18.7995 Å; angles 90.00, 90.00, 120.00 degrees
Space group R3m (No. 160, hexagonal axes)
Symmetry-distinct sites (fractional):
Ba (0.0000, 0.0000, 0.0000) [3 per cell]
Re (0.0000, 0.0000, 0.4719) [3 per cell]
Re (0.0000, 0.0000, 0.7995) [3 per cell]
Hg (0.0000, 0.0000, 0.2031) [3 per cell]

***

[10]
Density functional theory data (PBEsol) for a relaxed structure of Tl2ZnOs.

Calculated values
The energy relative to the elements comes out at 0.56 eV per atom. The offset from the most stable computed form is 0 kJ/mol of formula units. For the density of states at the Fermi level, the calculation gives 4.3 states/eV/cell.

Cell lengths 4.2180, 3.5006, 10.3042 Å; angles 90.00, 90.00, 90.00 degrees
Space group Amm2 (No. 38)
Symmetry-distinct sites (fractional):
Tl (0.0000, 0.0000, 0.0000) [2 per cell]
Tl (0.5000, 0.0000, 0.3073) [2 per cell]
Zn (0.5000, 0.0000, 0.5864) [2 per cell]
Os (0.0000, 0.0000, 0.7265) [2 per cell]

***

[11]
Density functional theory data (PBEsol) for a relaxed structure of Mg2Ag.

Calculated values
The energy relative to the elements comes out at -0.09 eV per atom. For the density of states at the Fermi level, the calculation gives 4.3 states/eV/cell.

Cell lengths 3.1320, 15.1484, 4.9215 Å; angles 90.00, 90.00, 90.00 degrees
Space group Cmcm (No. 63)
Symmetry-distinct sites (fractional):
Mg (0.0000, 0.0610, 0.2500) [4 per cell]
Mg (0.0000, 0.3764, 0.2500) [4 per cell]
Ag (0.0000, 0.2799, 0.7500) [4 per cell]

***

[12]
Density functional theory data (PBEsol) for a relaxed structure of KAg2P2.

Calculated values
The energy relative to the elements comes out at -0.17 eV per atom. For the density of states at the Fermi level, the calculation gives 2.4 states/eV/cell.

Cell lengths 4.3758, 4.3758, 10.0248 Å; angles 90.00, 90.00, 90.00 degrees
Space group I4/mmm (No. 139)
Symmetry-distinct sites (fractional):
K (0.0000, 0.0000, 0.0000) [2 per cell]
Ag (0.0000, 0.5000, 0.2500) [4 per cell]
P (0.0000, 0.0000, 0.3909) [4 per cell]